[1]
Compound: SrAlSnH2
Source: Alexandria
Functional: GGA-PBE
Structure: optimized geometry

```
SrAlSnH2
1.0
4.524 0.000 0.000
-2.262 5.810 0.000
0.000 0.000 6.461
Sr Al Sn H
2 2 2 4
Direct
0.718 0.436 0.750
0.282 0.564 0.250
0.000 0.000 0.000
0.000 0.000 0.500
0.436 0.873 0.750
0.564 0.127 0.250
0.149 0.298 0.937
0.851 0.702 0.063
0.149 0.298 0.563
0.851 0.702 0.437
```

Values from the calculation:
- crystal system = orthorhombic

***

[2]
Compound: Sr2AlSn2H4
Source: Alexandria
Functional: GGA-PBE
Structure: optimized geometry

```
Sr2AlSn2H4
1.0
6.277 -0.179 -0.282
-2.685 5.677 0.282
-2.685 -2.168 5.254
Sr Al Sn H
2 1 2 4
Direct
0.500 0.750 0.250
0.500 0.250 0.750
0.000 0.000 0.000
0.000 0.658 0.658
0.000 0.342 0.342
0.000 0.814 0.186
0.628 0.814 0.814
0.000 0.186 0.814
0.372 0.186 0.186
```

Values from the calculation:
- crystal system = tetragonal

***

[3]
Compound: AlVSnH2
Source: Alexandria
Functional: GGA-PBE
Structure: optimized geometry

```
AlVSnH2
1.0
3.785 0.000 0.000
0.000 5.765 0.000
0.000 0.000 3.785
H Al Sn V
2 1 1 1
Direct
0.000 0.000 0.500
0.500 0.000 0.000
0.500 0.500 0.500
0.000 0.000 0.000
0.000 0.500 0.000
```

Values from the calculation:
- crystal system = tetragonal

***

[4]
Compound: Sr2AlH
Source: Alexandria
Functional: GGA-PBE
Structure: optimized geometry

```
Sr2AlH
1.0
3.571 0.000 0.000
0.000 3.571 0.000
0.000 0.000 8.126
Sr Al H
2 1 1
Direct
0.000 0.000 0.770
0.000 0.000 0.230
0.500 0.500 0.500
0.500 0.500 0.000
```

Values from the calculation:
- crystal system = tetragonal

***

[5]
Compound: SrAl4H2
Source: Alexandria
Functional: GGA-PBE
Structure: optimized geometry

```
SrAl4H2
1.0
5.978 0.000 0.000
0.000 5.978 0.000
2.989 2.989 5.405
Sr Al H
1 4 2
Direct
0.000 0.000 0.000
0.704 0.704 0.591
0.296 0.296 0.409
0.000 0.500 0.000
0.500 0.000 0.000
0.541 0.541 0.919
0.459 0.459 0.081
```

Values from the calculation:
- crystal system = tetragonal

***

[6]
Compound: Sr2AlH
Source: Alexandria
Functional: GGA-PBE
Structure: optimized geometry

```
Sr2AlH
1.0
7.537 0.000 0.000
0.000 7.537 0.000
3.769 3.769 4.069
Sr Al H
4 2 2
Direct
0.533 0.125 0.250
0.217 0.625 0.250
0.375 0.467 0.750
0.875 0.783 0.750
0.000 0.000 0.000
0.750 0.250 0.500
0.500 0.500 0.000
0.250 0.750 0.500
```

Values from the calculation:
- crystal system = tetragonal

***

Per-record calculated total energy, eV per cell: -34.84, -28.41, -20.08, -10.53, -16.46, -21.57
Per-record DOS(E_F), states/eV/atom: 0.143, 0.496, 0.748, 0.589, 0.751, 0.132